No. 1
# Ce2PuThS4 PBE-GGA relaxed
data_Ce2PuThS4
_cell_length_a 6.932
_cell_length_b 4.004
_cell_length_c 6.960
_cell_angle_alpha 90.00
_cell_angle_beta 109.42
_cell_angle_gamma 90.00
_space_group_name_H-M_alt 'P 1'
_space_group_IT_number 1
loop_
_space_group_symop_operation_xyz
'x,y,z'
loop_
_atom_site_label
_atom_site_type_symbol
_atom_site_fract_x
_atom_site_fract_y
_atom_site_fract_z
_atom_site_occupancy
Ce1 Ce 0.000 0.000 0.000 1
Ce2 Ce 0.000 0.500 0.500 1
Pu1 Pu 0.500 0.000 0.500 1
Th1 Th 0.500 0.500 0.000 1
S1 S 0.251 0.000 0.745 1
S2 S 0.254 0.500 0.256 1
S3 S 0.746 0.500 0.744 1
S4 S 0.749 0.000 0.255 1
# total energy: -8.202 eV per atom
# raw formation energy: -1.935 eV/atom



No. 2
# InRe2Hg PBE-GGA relaxed
data_InRe2Hg
_cell_length_a 5.298
_cell_length_b 5.298
_cell_length_c 5.298
_cell_angle_alpha 135.89
_cell_angle_beta 135.89
_cell_angle_gamma 64.14
_space_group_name_H-M_alt 'P 1'
_space_group_IT_number 1
loop_
_space_group_symop_operation_xyz
'x,y,z'
loop_
_atom_site_label
_atom_site_type_symbol
_atom_site_fract_x
_atom_site_fract_y
_atom_site_fract_z
_atom_site_occupancy
In1 In 0.000 0.000 0.000 1
Re1 Re 0.250 0.750 0.500 1
Re2 Re 0.750 0.250 0.500 1
Hg1 Hg 0.500 0.500 0.000 1
# ΔE_f: 994 meV per atom
# total energy: -5.990 eV per atom



No. 3
# LaFe2Cu PBE-GGA relaxed
data_LaFe2Cu
_cell_length_a 3.309
_cell_length_b 4.399
_cell_length_c 5.145
_cell_angle_alpha 90.00
_cell_angle_beta 102.08
_cell_angle_gamma 90.00
_space_group_name_H-M_alt 'P 1'
_space_group_IT_number 1
loop_
_space_group_symop_operation_xyz
'x,y,z'
loop_
_atom_site_label
_atom_site_type_symbol
_atom_site_fract_x
_atom_site_fract_y
_atom_site_fract_z
_atom_site_occupancy
La1 La 0.000 0.000 0.000 1
Fe1 Fe 0.324 0.500 0.675 1
Fe2 Fe 0.676 0.500 0.325 1
Cu1 Cu 0.500 0.000 0.500 1
# ΔE_f: 385 meV per atom
# total energy: -6.102 eV per atom



No. 4
# OsSe2Cl PBE-GGA relaxed
data_OsSe2Cl
_cell_length_a 4.944
_cell_length_b 3.699
_cell_length_c 5.147
_cell_angle_alpha 90.00
_cell_angle_beta 118.56
_cell_angle_gamma 90.00
_space_group_name_H-M_alt 'P 1'
_space_group_IT_number 1
loop_
_space_group_symop_operation_xyz
'x,y,z'
loop_
_atom_site_label
_atom_site_type_symbol
_atom_site_fract_x
_atom_site_fract_y
_atom_site_fract_z
_atom_site_occupancy
Os1 Os 0.000 0.000 0.000 1
Se1 Se 0.181 0.500 0.363 1
Se2 Se 0.819 0.500 0.637 1
Cl1 Cl 0.500 0.000 0.000 1
# total energy: -4.989 eV per atom
# raw formation energy: 0.023 eV/atom



No. 5
# Sm5As4H PBE-GGA relaxed
data_Sm5As4H
_cell_length_a 7.208
_cell_length_b 7.208
_cell_length_c 7.208
_cell_angle_alpha 99.63
_cell_angle_beta 99.63
_cell_angle_gamma 131.73
_space_group_name_H-M_alt 'P 1'
_space_group_IT_number 1
loop_
_space_group_symop_operation_xyz
'x,y,z'
loop_
_atom_site_label
_atom_site_type_symbol
_atom_site_fract_x
_atom_site_fract_y
_atom_site_fract_z
_atom_site_occupancy
Sm1 Sm 0.000 0.000 0.000 1
Sm2 Sm 0.232 0.643 0.798 1
Sm3 Sm 0.434 0.232 0.589 1
Sm4 Sm 0.643 0.846 0.411 1
Sm5 Sm 0.846 0.434 0.202 1
As1 As 0.138 0.337 0.398 1
As2 As 0.337 0.939 0.198 1
As3 As 0.741 0.138 0.802 1
As4 As 0.939 0.741 0.602 1
H1 H 0.589 0.589 0.000 1
# total energy: -5.811 eV per atom



No. 6
# ZrPa2Al PBE-GGA relaxed
data_ZrPa2Al
_cell_length_a 3.867
_cell_length_b 3.867
_cell_length_c 6.381
_cell_angle_alpha 90.00
_cell_angle_beta 90.00
_cell_angle_gamma 90.00
_space_group_name_H-M_alt 'P 1'
_space_group_IT_number 1
loop_
_space_group_symop_operation_xyz
'x,y,z'
loop_
_atom_site_label
_atom_site_type_symbol
_atom_site_fract_x
_atom_site_fract_y
_atom_site_fract_z
_atom_site_occupancy
Zr1 Zr 0.000 0.000 0.000 1
Pa1 Pa 0.500 0.500 0.282 1
Pa2 Pa 0.500 0.500 0.718 1
Al1 Al 0.000 0.000 0.500 1
# ΔE_f: 64 meV per atom
# total energy: -7.757 eV per atom



- Number 4 is which compound?
  OsSe2Cl